[1]
! Sn2HgRu2 PBE-GGA relaxed; values from VASP
&SYSTEM
  ibrav = 0, nat = 5, ntyp = 3
/
ATOMIC_SPECIES
Ru 101.07 Ru.upf
Hg 200.59 Hg.upf
Sn 118.71 Sn.upf
CELL_PARAMETERS angstrom
4.230 0.000 0.000
0.000 4.230 0.000
2.115 2.115 5.802
ATOMIC_POSITIONS crystal
Ru 0.392 0.392 0.216
Ru 0.608 0.608 0.784
Hg 0.000 0.000 0.000
Sn 0.750 0.250 0.500
Sn 0.250 0.750 0.500
! energy = -5.07 eV/atom
! energy above the lowest structure with this stoichiometry = 301 meV per atom
! DFT formation energy = 1.5 eV per formula unit
! symmetry = I4/mmm (139)

***

[2]
! NaCaPbBr5 PBE-GGA relaxed; values from VASP
&SYSTEM
  ibrav = 0, nat = 16, ntyp = 4
/
ATOMIC_SPECIES
Na 22.99 Na.upf
Ca 40.08 Ca.upf
Pb 207.20 Pb.upf
Br 79.90 Br.upf
CELL_PARAMETERS angstrom
8.070 -0.134 -0.183
-2.484 7.679 -0.183
-2.516 -3.398 9.660
ATOMIC_POSITIONS crystal
Na 0.679 0.321 0.250
Na 0.321 0.679 0.750
Ca 0.000 0.000 0.500
Ca 0.000 0.000 0.000
Pb 0.363 0.637 0.250
Pb 0.637 0.363 0.750
Br 0.112 0.888 0.250
Br 0.888 0.112 0.750
Br 0.969 0.332 0.154
Br 0.031 0.668 0.846
Br 0.668 0.031 0.346
Br 0.332 0.969 0.654
Br 0.701 0.634 0.452
Br 0.299 0.366 0.548
Br 0.366 0.299 0.048
Br 0.634 0.701 0.952
! energy = -3.33 eV/atom
! ΔE_f (raw) = -1.41 eV/atom
! symmetry = C2/c (15)

***

[3]
! CsCa2O PBE-GGA relaxed; values from VASP
&SYSTEM
  ibrav = 0, nat = 8, ntyp = 3
/
ATOMIC_SPECIES
Cs 132.91 Cs.upf
Ca 40.08 Ca.upf
O 16.00 O.upf
CELL_PARAMETERS angstrom
7.579 0.000 0.000
0.000 7.579 0.000
3.789 3.789 5.352
ATOMIC_POSITIONS crystal
Cs 0.000 0.000 0.000
Cs 0.750 0.250 0.500
Ca 0.375 0.125 0.250
Ca 0.375 0.625 0.250
Ca 0.375 0.625 0.750
Ca 0.875 0.625 0.750
O 0.500 0.500 0.000
O 0.250 0.750 0.500
! energy = -3.64 eV/atom
! ΔE_f (raw) = -1.19 eV/atom
! symmetry = I4_1/amd (141)

***

[4]
! KGaBr2 PBE-GGA relaxed; values from VASP
&SYSTEM
  ibrav = 0, nat = 4, ntyp = 3
/
ATOMIC_SPECIES
K 39.10 K.upf
Ga 69.72 Ga.upf
Br 79.90 Br.upf
CELL_PARAMETERS angstrom
-9.389 1.789 0.776
-7.927 0.903 5.321
-7.251 5.296 3.366
ATOMIC_POSITIONS crystal
K 0.000 0.000 0.000
Ga 0.500 0.500 0.500
Br 0.892 0.892 0.892
Br 0.108 0.108 0.108
! energy = -2.72 eV/atom
! energy above the lowest structure with this stoichiometry = 289 meV per atom
! ΔE_f (raw) = -0.85 eV/atom
! symmetry = R-3m (166)

***

[5]
! Sc2MnAs PBE-GGA relaxed; values from VASP
&SYSTEM
  ibrav = 0, nat = 4, ntyp = 3
/
ATOMIC_SPECIES
Sc 44.96 Sc.upf
As 74.92 As.upf
Mn 54.94 Mn.upf
CELL_PARAMETERS angstrom
1.823 0.000 9.168
-0.912 1.579 9.168
-0.912 -1.579 9.168
ATOMIC_POSITIONS crystal
Sc 0.900 0.900 0.900
Sc 0.100 0.100 0.100
As 0.000 0.000 0.000
Mn 0.500 0.500 0.500
! energy = -6.44 eV/atom
! DFT formation energy = 0.7 eV per formula unit
! symmetry = R-3m (166)

***

[6]
! MnCu2Re PBE-GGA relaxed; values from VASP
&SYSTEM
  ibrav = 0, nat = 4, ntyp = 3
/
ATOMIC_SPECIES
Cu 63.55 Cu.upf
Mn 54.94 Mn.upf
Re 186.21 Re.upf
CELL_PARAMETERS angstrom
-2.413 3.778 -1.302
-1.824 2.469 -3.516
-4.090 -1.721 -0.071
ATOMIC_POSITIONS crystal
Cu 0.000 0.000 0.998
Cu 0.500 0.500 0.502
Mn 0.750 0.750 0.750
Re 0.250 0.250 0.250
! energy = -7.19 eV/atom
! energy above the lowest structure with this stoichiometry = 68 meV per atom
! DFT formation energy = 1.0 eV per formula unit
! symmetry = C2/m (12)

***

[7]
! Ce2SnTe PBE-GGA relaxed; values from VASP
&SYSTEM
  ibrav = 0, nat = 4, ntyp = 3
/
ATOMIC_SPECIES
Ce 140.12 Ce.upf
Sn 118.71 Sn.upf
Te 127.60 Te.upf
CELL_PARAMETERS angstrom
-1.071 -4.109 -1.268
3.174 -2.838 -1.227
1.361 -4.761 6.534
ATOMIC_POSITIONS crystal
Ce 0.079 0.079 0.763
Ce 0.255 0.255 0.236
Sn 0.668 0.668 0.996
Te 0.498 0.498 0.505
! energy = -5.63 eV/atom
! energy above the lowest structure with this stoichiometry = 103 meV per atom
! ΔE_f (raw) = -0.87 eV/atom
! symmetry = R3m (160)

***

[8]
! BeOs PBE-GGA relaxed; values from VASP
&SYSTEM
  ibrav = 0, nat = 32, ntyp = 2
/
ATOMIC_SPECIES
Be 9.01 Be.upf
Os 190.23 Os.upf
CELL_PARAMETERS angstrom
-3.305 2.081 -4.041
-5.877 -1.952 3.802
0.005 7.842 4.034
ATOMIC_POSITIONS crystal
Be 0.181 0.000 0.000
Be 0.819 0.000 0.000
Be 0.069 0.750 0.250
Be 0.431 0.750 0.250
Be 0.181 0.500 0.500
Be 0.819 0.500 0.500
Be 0.069 0.250 0.750
Be 0.431 0.250 0.750
Be 0.681 0.000 0.500
Be 0.319 0.000 0.500
Be 0.569 0.750 0.750
Be 0.931 0.750 0.750
Be 0.681 0.500 0.000
Be 0.319 0.500 0.000
Be 0.569 0.250 0.250
Be 0.931 0.250 0.250
Os 0.000 0.710 0.000
Os 0.000 0.290 0.000
Os 0.250 0.040 0.250
Os 0.250 0.460 0.250
Os 0.000 0.210 0.500
Os 0.000 0.790 0.500
Os 0.250 0.540 0.750
Os 0.250 0.960 0.750
Os 0.500 0.710 0.500
Os 0.500 0.290 0.500
Os 0.750 0.040 0.750
Os 0.750 0.460 0.750
Os 0.500 0.210 0.000
Os 0.500 0.790 0.000
Os 0.750 0.540 0.250
Os 0.750 0.960 0.250
! energy = -7.19 eV/atom
! DFT formation energy = 0.6 eV per formula unit
! symmetry = Fddd (70)